No. 1
## Li3B8C8 (PBE-GGA)

Data for Li3B8C8 after structural relaxation.

Output
* E above lowest polymorph: 2.10 kcal/mol of atoms
* DOS at the Fermi energy: 3.70 states/eV/cell
* mass density: 1.82 g cm⁻³
* spin magnetization: 0.00 μB/f.u.
* calculated volume: 186.0 Å³ per cell

Unit cell a=4.683 b=5.385 c=7.377 alpha=90.00 beta=90.45 gamma=90.00
Atoms (fractional coordinates):
1 Li 0.000 0.000 0.000
2 Li 0.000 0.485 0.500
3 Li 0.500 0.704 0.000
4 B 0.163 0.724 0.759
5 B 0.165 0.224 0.753
6 B 0.337 0.472 0.252
7 B 0.338 0.975 0.250
8 B 0.662 0.975 0.750
9 B 0.663 0.472 0.748
10 B 0.835 0.224 0.247
11 B 0.837 0.724 0.241
12 C 0.167 0.229 0.253
13 C 0.171 0.729 0.245
14 C 0.331 0.480 0.752
15 C 0.331 0.979 0.764
16 C 0.669 0.480 0.248
17 C 0.669 0.979 0.236
18 C 0.829 0.729 0.755
19 C 0.833 0.229 0.747

No. 2
## LaNpGa4 (PBE-GGA)

Data for LaNpGa4 after structural relaxation.

Output
* total energy: -0.195 Ha/atom
* DOS at the Fermi energy: 16.24 states/eV/cell
* mass density: 8.75 g cm⁻³
* spin magnetization: 4.74 μB/f.u.
* calculated volume: 124.3 Å³ per cell

Unit cell a=5.601 b=5.601 c=5.601 alpha=60.00 beta=60.00 gamma=60.00
Atoms (fractional coordinates):
1 La 0.000 0.000 0.000
2 Np 0.750 0.750 0.750
3 Ga 0.376 0.376 0.376
4 Ga 0.376 0.376 0.873
5 Ga 0.376 0.873 0.376
6 Ga 0.873 0.376 0.376